Material: TiRu2I
Method: DFT, PBE
State: optimized geometry

a b c (Å): 6.447 6.447 6.447
angles (deg): 90.00 90.00 90.00
Space group Fm-3m (No. 225)
Symmetry-distinct sites (fractional):
Ti1 0.000 0.000 0.000
Ru1 0.250 0.250 0.250
I1 0.000 0.000 0.500

Values from the calculation:
Raw formation energy (meV per atom): 461
DOS(E_F) (states/eV per cell): 6.473

***

Material: TiRu2WI
Method: DFT, PBE
State: optimized geometry

a b c (Å): 4.513 4.513 5.037
angles (deg): 90.00 90.00 90.00
Space group P4/mmm (No. 123)
Symmetry-distinct sites (fractional):
Ti1 0.000 0.000 0.000
Ru1 0.000 0.500 0.000
W1 0.500 0.500 0.500
I1 0.000 0.000 0.500

Values from the calculation:
Raw formation energy (meV per atom): 1735
DOS(E_F) (states/eV per cell): 4.705

***

Material: Tl3RuI
Method: DFT, PBE
State: optimized geometry

a b c (Å): 5.379 5.379 5.379
angles (deg): 90.00 90.00 90.00
Space group Pm-3m (No. 221)
Symmetry-distinct sites (fractional):
Tl1 0.000 0.000 0.500
Ru1 0.000 0.000 0.000
I1 0.500 0.500 0.500

Values from the calculation:
Raw formation energy (meV per atom): 22
DOS(E_F) (states/eV per cell): 1.889

***

Material: TlRu2I
Method: DFT, PBE
State: optimized geometry

a b c (Å): 6.212 6.212 11.110
angles (deg): 90.00 90.00 90.00
Space group I-42d (No. 122)
Symmetry-distinct sites (fractional):
Tl1 0.000 0.000 0.000
Ru1 0.225 0.250 0.625
I1 0.000 0.000 0.500

Values from the calculation:
Raw formation energy (meV per atom): 1166
DOS(E_F) (states/eV per cell): 14.948